Record 1
The following is a DFT calculation (PBE) of crystalline KLiAsPd2 at its relaxed geometry.

Cell lengths 4.8328, 4.8328, 4.9152 Å; angles 90.00, 90.00, 90.00 degrees
Last column: nearest neighbours and their distance in Å.
Space group P4/mmm (No. 123)
Unique sites:
K: 0.0000 0.0000 0.0000 [1 per cell]  4 Li 3.42, 8 Pd 3.45
Li: 0.5000 0.5000 0.0000 [1 per cell]  2 As 2.46
As: 0.5000 0.5000 0.5000 [1 per cell]  4 Pd 2.42, 2 Li 2.46
Pd: 0.0000 0.5000 0.5000 [2 per cell]  2 As 2.42

Results
**DOS(E_F)**: 5.39 states/eV per cell
**Crystal system**: tetragonal

***

Record 2
The following is a DFT calculation (PBE) of crystalline PmErInTc at its relaxed geometry.

Cell lengths 7.2410, 7.2410, 7.2410 Å; angles 90.00, 90.00, 90.00 degrees
Last column: nearest neighbours and their distance in Å.
Space group F-43m (No. 216)
Unique sites:
Pm: 0.0000 0.0000 0.0000 [4 per cell]  4 In 3.14, 4 Tc 3.14
Er: 0.0000 0.0000 0.5000 [4 per cell]  4 Tc 3.14, 4 In 3.14
In: 0.2500 0.2500 0.2500 [4 per cell]  4 Er 3.14, 4 Pm 3.14
Tc: 0.2500 0.2500 0.7500 [4 per cell]  4 Er 3.14, 4 Pm 3.14

Results
**DOS(E_F)**: 13.67 states/eV per cell
**Crystal system**: cubic

***

Record order is preserved below.
Total magnetization: 0.00; 0.00 μB per formula unit
Record order is preserved below.
DFT formation energy: -281; -98 meV/atom